# DyHfPa

Crystalline DyHfPa at its relaxed geometry (PBE, Alexandria via LeMat-Bulk).

CIF file:
```
data_DyHfPa
_chemical_formula_sum 'Dy1 Hf1 Pa1'
_cell_length_a 5.225
_cell_length_b 5.225
_cell_length_c 3.294
_cell_angle_alpha 90.00
_cell_angle_beta 90.00
_cell_angle_gamma 120.00
_space_group_name_H-M_alt 'P 1'
_space_group_IT_number 1
_space_group_name_Hall 'P 1'
loop_
_atom_site_label
_atom_site_type_symbol
_atom_site_fract_x
_atom_site_fract_y
_atom_site_fract_z
_atom_site_occupancy
Dy1 Dy 0.000 0.000 0.000 1
Hf1 Hf 0.667 0.333 0.500 1
Pa1 Pa 0.333 0.667 0.500 1
```

Output
ΔH_f (0 K): 0.247 eV/atom
energy above the most stable polymorph in this dataset: 0.070 eV/atom
symmetry: P-6m2, No. 187


# Tb4Pm5Tm2

Crystalline Tb4Pm5Tm2 at its relaxed geometry (PBE, Alexandria via LeMat-Bulk).

CIF file:
```
data_Tb4Pm5Tm2
_chemical_formula_sum 'Tb4 Pm5 Tm2'
_cell_length_a 8.989
_cell_length_b 8.989
_cell_length_c 11.614
_cell_angle_alpha 93.91
_cell_angle_beta 93.91
_cell_angle_gamma 22.76
_space_group_name_H-M_alt 'P 1'
_space_group_IT_number 1
_space_group_name_Hall 'P 1'
loop_
_atom_site_label
_atom_site_type_symbol
_atom_site_fract_x
_atom_site_fract_y
_atom_site_fract_z
_atom_site_occupancy
Tb1 Tb 0.037 0.037 0.261 1
Tb2 Tb 0.359 0.359 0.206 1
Tb3 Tb 0.641 0.641 0.794 1
Tb4 Tb 0.963 0.963 0.739 1
Pm1 Pm 0.097 0.097 0.536 1
Pm2 Pm 0.177 0.177 0.071 1
Pm3 Pm 0.500 0.500 0.000 1
Pm4 Pm 0.823 0.823 0.929 1
Pm5 Pm 0.903 0.903 0.464 1
Tm1 Tm 0.285 0.285 0.647 1
Tm2 Tm 0.715 0.715 0.353 1
```

Output
ΔH_f (0 K): 0.075 eV/atom
energy above the most stable polymorph in this dataset: 0.000 eV/atom
symmetry: C2/m, No. 12


# NbSnAs2

Crystalline NbSnAs2 at its relaxed geometry (PBE, Alexandria via LeMat-Bulk).

CIF file:
```
data_NbSnAs2
_chemical_formula_sum 'Nb1 Sn1 As2'
_cell_length_a 8.122
_cell_length_b 8.122
_cell_length_c 8.122
_cell_angle_alpha 25.13
_cell_angle_beta 25.13
_cell_angle_gamma 25.13
_space_group_name_H-M_alt 'P 1'
_space_group_IT_number 1
_space_group_name_Hall 'P 1'
loop_
_atom_site_label
_atom_site_type_symbol
_atom_site_fract_x
_atom_site_fract_y
_atom_site_fract_z
_atom_site_occupancy
Nb1 Nb 0.000 0.000 0.000 1
Sn1 Sn 0.163 0.163 0.163 1
As1 As 0.405 0.405 0.405 1
As2 As 0.595 0.595 0.595 1
```

Output
ΔH_f (0 K): -0.197 eV/atom
symmetry: R3m, No. 160


# Ce3CI7

Crystalline Ce3CI7 at its relaxed geometry (PBE, Alexandria via LeMat-Bulk).

CIF file:
```
data_Ce3CI7
_chemical_formula_sum 'Ce3 C1 I7'
_cell_length_a 8.664
_cell_length_b 8.664
_cell_length_c 7.691
_cell_angle_alpha 90.00
_cell_angle_beta 90.00
_cell_angle_gamma 120.00
_space_group_name_H-M_alt 'P 1'
_space_group_IT_number 1
_space_group_name_Hall 'P 1'
loop_
_atom_site_label
_atom_site_type_symbol
_atom_site_fract_x
_atom_site_fract_y
_atom_site_fract_z
_atom_site_occupancy
Ce1 Ce 0.041 0.521 0.000 1
Ce2 Ce 0.479 0.521 0.000 1
Ce3 Ce 0.479 0.959 0.000 1
C1 C 0.333 0.667 0.058 1
I1 I 0.162 0.325 0.744 1
I2 I 0.162 0.838 0.744 1
I3 I 0.334 0.167 0.225 1
I4 I 0.667 0.333 0.770 1
I5 I 0.675 0.838 0.744 1
I6 I 0.833 0.167 0.225 1
I7 I 0.833 0.666 0.225 1
```

Output
raw formation energy: -1.0594 eV/atom
symmetry: P3m1, No. 156


# LaTmSe2S

Crystalline LaTmSe2S at its relaxed geometry (PBE, Alexandria via LeMat-Bulk).

CIF file:
```
data_LaTmSe2S
_chemical_formula_sum 'La2 Tm2 Se4 S2'
_cell_length_a 4.224
_cell_length_b 4.224
_cell_length_c 14.703
_cell_angle_alpha 90.00
_cell_angle_beta 90.00
_cell_angle_gamma 90.00
_space_group_name_H-M_alt 'P 1'
_space_group_IT_number 1
_space_group_name_Hall 'P 1'
loop_
_atom_site_label
_atom_site_type_symbol
_atom_site_fract_x
_atom_site_fract_y
_atom_site_fract_z
_atom_site_occupancy
La1 La 0.250 0.250 0.126 1
La2 La 0.750 0.750 0.874 1
Tm1 Tm 0.250 0.250 0.605 1
Tm2 Tm 0.750 0.750 0.395 1
Se1 Se 0.250 0.250 0.407 1
Se2 Se 0.250 0.250 0.786 1
Se3 Se 0.750 0.750 0.214 1
Se4 Se 0.750 0.750 0.593 1
S1 S 0.250 0.750 0.000 1
S2 S 0.750 0.250 0.000 1
```

Output
raw formation energy: -1.8002 eV/atom
symmetry: P4/nmm, No. 129


# CePm2I6

Crystalline CePm2I6 at its relaxed geometry (PBE, Alexandria via LeMat-Bulk).

CIF file:
```
data_CePm2I6
_chemical_formula_sum 'Ce1 Pm2 I6'
_cell_length_a 10.438
_cell_length_b 10.438
_cell_length_c 9.558
_cell_angle_alpha 111.30
_cell_angle_beta 111.30
_cell_angle_gamma 23.40
_space_group_name_H-M_alt 'P 1'
_space_group_IT_number 1
_space_group_name_Hall 'P 1'
loop_
_atom_site_label
_atom_site_type_symbol
_atom_site_fract_x
_atom_site_fract_y
_atom_site_fract_z
_atom_site_occupancy
Ce1 Ce 0.000 0.000 0.000 1
Pm1 Pm 0.327 0.327 0.650 1
Pm2 Pm 0.673 0.673 0.350 1
I1 I 0.165 0.165 0.588 1
I2 I 0.167 0.167 0.095 1
I3 I 0.496 0.496 0.745 1
I4 I 0.504 0.504 0.255 1
I5 I 0.833 0.833 0.905 1
I6 I 0.835 0.835 0.412 1
```

Output
raw formation energy: -1.2653 eV/atom
energy above the most stable polymorph in this dataset: 0.000 eV/atom
symmetry: C2/m, No. 12


# TcAg3Ge

Crystalline TcAg3Ge at its relaxed geometry (PBE, Alexandria via LeMat-Bulk).

CIF file:
```
data_TcAg3Ge
_chemical_formula_sum 'Tc1 Ag3 Ge1'
_cell_length_a 5.084
_cell_length_b 5.084
_cell_length_c 5.084
_cell_angle_alpha 90.00
_cell_angle_beta 90.00
_cell_angle_gamma 90.00
_space_group_name_H-M_alt 'P 1'
_space_group_IT_number 1
_space_group_name_Hall 'P 1'
loop_
_atom_site_label
_atom_site_type_symbol
_atom_site_fract_x
_atom_site_fract_y
_atom_site_fract_z
_atom_site_occupancy
Tc1 Tc 0.000 0.000 0.000 1
Ag1 Ag 0.000 0.000 0.500 1
Ag2 Ag 0.000 0.500 0.000 1
Ag3 Ag 0.500 0.000 0.000 1
Ge1 Ge 0.500 0.500 0.500 1
```

Output
ΔH_f (0 K): 1.507 eV/atom
energy above the most stable polymorph in this dataset: 0.387 eV/atom
symmetry: Pm-3m, No. 221


# LiTcNi

Crystalline LiTcNi at its relaxed geometry (PBE, Alexandria via LeMat-Bulk).

CIF file:
```
data_LiTcNi
_chemical_formula_sum 'Li2 Tc2 Ni2'
_cell_length_a 6.817
_cell_length_b 6.817
_cell_length_c 4.636
_cell_angle_alpha 96.38
_cell_angle_beta 96.38
_cell_angle_gamma 21.42
_space_group_name_H-M_alt 'P 1'
_space_group_IT_number 1
_space_group_name_Hall 'P 1'
loop_
_atom_site_label
_atom_site_type_symbol
_atom_site_fract_x
_atom_site_fract_y
_atom_site_fract_z
_atom_site_occupancy
Li1 Li 0.243 0.243 0.255 1
Li2 Li 0.757 0.757 0.745 1
Tc1 Tc 0.075 0.075 0.868 1
Tc2 Tc 0.925 0.925 0.132 1
Ni1 Ni 0.419 0.419 0.619 1
Ni2 Ni 0.581 0.581 0.381 1
```

Output
ΔH_f (0 K): 0.067 eV/atom
energy above the most stable polymorph in this dataset: 0.004 eV/atom
symmetry: C2/m, No. 12


# MgAlCd

Crystalline MgAlCd at its relaxed geometry (PBE, Alexandria via LeMat-Bulk).

CIF file:
```
data_MgAlCd
_chemical_formula_sum 'Mg1 Al1 Cd1'
_cell_length_a 5.297
_cell_length_b 5.297
_cell_length_c 5.297
_cell_angle_alpha 145.87
_cell_angle_beta 132.16
_cell_angle_gamma 60.07
_space_group_name_H-M_alt 'P 1'
_space_group_IT_number 1
_space_group_name_Hall 'P 1'
loop_
_atom_site_label
_atom_site_type_symbol
_atom_site_fract_x
_atom_site_fract_y
_atom_site_fract_z
_atom_site_occupancy
Mg1 Mg 0.000 0.000 0.000 1
Al1 Al 0.665 0.665 0.000 1
Cd1 Cd 0.330 0.330 0.000 1
```

Output
ΔH_f (0 K): 0.029 eV/atom
energy above the most stable polymorph in this dataset: 0.035 eV/atom
symmetry: Imm2, No. 44


# Au2I3Cl

Crystalline Au2I3Cl at its relaxed geometry (PBE, Alexandria via LeMat-Bulk).

CIF file:
```
data_Au2I3Cl
_chemical_formula_sum 'Au4 I6 Cl2'
_cell_length_a 13.736
_cell_length_b 13.736
_cell_length_c 7.775
_cell_angle_alpha 96.55
_cell_angle_beta 96.55
_cell_angle_gamma 18.21
_space_group_name_H-M_alt 'P 1'
_space_group_IT_number 1
_space_group_name_Hall 'P 1'
loop_
_atom_site_label
_atom_site_type_symbol
_atom_site_fract_x
_atom_site_fract_y
_atom_site_fract_z
_atom_site_occupancy
Au1 Au 0.039 0.039 0.133 1
Au2 Au 0.322 0.322 0.810 1
Au3 Au 0.678 0.678 0.190 1
Au4 Au 0.961 0.961 0.867 1
I1 I 0.057 0.057 0.783 1
I2 I 0.238 0.238 0.238 1
I3 I 0.410 0.410 0.696 1
I4 I 0.590 0.590 0.304 1
I5 I 0.762 0.762 0.762 1
I6 I 0.943 0.943 0.217 1
Cl1 Cl 0.338 0.338 0.172 1
Cl2 Cl 0.662 0.662 0.828 1
```

Output
raw formation energy: 0.0823 eV/atom
energy above the most stable polymorph in this dataset: 0.178 eV/atom
symmetry: C2/m, No. 12


# Ac3Nd3Tl2Pd

Crystalline Ac3Nd3Tl2Pd at its relaxed geometry (PBE, Alexandria via LeMat-Bulk).

CIF file:
```
data_Ac3Nd3Tl2Pd
_chemical_formula_sum 'Ac3 Nd3 Tl2 Pd1'
_cell_length_a 9.232
_cell_length_b 9.232
_cell_length_c 4.041
_cell_angle_alpha 90.00
_cell_angle_beta 90.00
_cell_angle_gamma 120.00
_space_group_name_H-M_alt 'P 1'
_space_group_IT_number 1
_space_group_name_Hall 'P 1'
loop_
_atom_site_label
_atom_site_type_symbol
_atom_site_fract_x
_atom_site_fract_y
_atom_site_fract_z
_atom_site_occupancy
Ac1 Ac 0.000 0.750 0.000 1
Ac2 Ac 0.250 0.250 0.000 1
Ac3 Ac 0.750 0.000 0.000 1
Nd1 Nd 0.000 0.405 0.500 1
Nd2 Nd 0.405 0.000 0.500 1
Nd3 Nd 0.595 0.595 0.500 1
Tl1 Tl 0.333 0.667 0.000 1
Tl2 Tl 0.667 0.333 0.000 1
Pd1 Pd 0.000 0.000 0.500 1
```

Output
ΔH_f (0 K): -0.344 eV/atom
symmetry: P-62m, No. 189


# NpNb2Zn

Crystalline NpNb2Zn at its relaxed geometry (PBE, Alexandria via LeMat-Bulk).

CIF file:
```
data_NpNb2Zn
_chemical_formula_sum 'Np1 Nb2 Zn1'
_cell_length_a 4.513
_cell_length_b 4.513
_cell_length_c 3.540
_cell_angle_alpha 90.00
_cell_angle_beta 90.00
_cell_angle_gamma 90.00
_space_group_name_H-M_alt 'P 1'
_space_group_IT_number 1
_space_group_name_Hall 'P 1'
loop_
_atom_site_label
_atom_site_type_symbol
_atom_site_fract_x
_atom_site_fract_y
_atom_site_fract_z
_atom_site_occupancy
Np1 Np 0.000 0.000 0.000 1
Nb1 Nb 0.000 0.500 0.500 1
Nb2 Nb 0.500 0.000 0.500 1
Zn1 Zn 0.500 0.500 0.000 1
```

Output
ΔH_f (0 K): 0.193 eV/atom
energy above the most stable polymorph in this dataset: 0.000 eV/atom
symmetry: P4/mmm, No. 123


Across the entries above, volume takes the values 77.88 362.24 85.01 499.97 262.37 384.06 131.43 78.16 61.25 455.22 298.26 72.08 Å³ per cell, respectively.